Compound: Tm2Al2AgPd5
Source: the Alexandria database
Functional: PBE
Structure: optimized geometry

a b c (Å): 3.6672 9.8753 9.8753
angles (deg): 90.00 90.00 90.00
Closest atoms and distances in Å follow each position.
Fractional positions:
Tm 0.0000 0.6785 0.1785  3 Al 2.82-3.00, 6 Pd 3.09-3.13
Tm 0.0000 0.3215 0.8215  3 Al 2.82-3.00, 6 Pd 3.09-3.13
Tm 0.0000 0.1785 0.3215  3 Al 2.82-3.00, 6 Pd 3.09-3.13
Tm 0.0000 0.8215 0.6785  3 Al 2.82-3.00, 6 Pd 3.09-3.13
Al 0.0000 0.1193 0.6193  6 Pd 2.48-2.55
Al 0.0000 0.8807 0.3807  6 Pd 2.48-2.55
Al 0.0000 0.6193 0.8807  6 Pd 2.48-2.55
Al 0.0000 0.3807 0.1193  6 Pd 2.48-2.55
Ag 0.0000 0.0000 0.0000  8 Pd 2.84
Ag 0.0000 0.5000 0.5000  8 Pd 2.84
Pd 0.5000 0.2096 0.0670  2 Al 2.55, 2 Ag 2.84
Pd 0.5000 0.7904 0.9330  2 Al 2.55, 2 Ag 2.84
Pd 0.5000 0.0670 0.7904  2 Al 2.55, 2 Ag 2.84
Pd 0.5000 0.7096 0.4330  2 Al 2.55, 2 Ag 2.84
Pd 0.5000 0.9330 0.2096  2 Al 2.55, 2 Ag 2.84
Pd 0.5000 0.2904 0.5670  2 Al 2.55, 2 Ag 2.84
Pd 0.5000 0.5670 0.7096  2 Al 2.55, 2 Ag 2.84
Pd 0.5000 0.4330 0.2904  2 Al 2.55, 2 Ag 2.84
Pd 0.5000 0.5000 0.0000  4 Al 2.48
Pd 0.5000 0.0000 0.5000  4 Al 2.48

Electronic total energy ... -5.23 eV per atom
Magnetization ... 0.00 μB per formula unit